1.
Density functional theory data (PBE) for a relaxed RbZrAs2Pt crystal.

Unit cell a=5.2349 b=5.2349 c=5.0077 alpha=90.00 beta=90.00 gamma=90.00
With the nearest neighbours (Å) after each atom.
Space group P4/mmm (No. 123)
Symmetry-distinct sites (fractional):
Rb: 0.0000 0.0000 0.0000 x1  2 Pt 2.50, 4 As 2.62
Zr: 0.5000 0.5000 0.5000 x1  8 As 3.62, 4 Pt 3.70
As: 0.0000 0.5000 0.0000 x2  2 Rb 2.62
Pt: 0.0000 0.0000 0.5000 x1  2 Rb 2.50

V: 137.2 Å³/cell
total moment: 0.00 μB per formula unit
ΔE_f: 1.74 eV per atom

2.
Density functional theory data (PBE) for a relaxed Pm5ErSn2 crystal.

Unit cell a=4.5960 b=10.0492 c=11.0941 alpha=90.00 beta=90.00 gamma=90.00
With the nearest neighbours (Å) after each atom.
Space group Immm (No. 71)
Symmetry-distinct sites (fractional):
Pm: 0.0000 0.0000 0.0000 x2  2 Sn 3.31, 8 Pm 3.44
Pm: 0.0000 0.3135 0.3423 x8  3 Sn 3.19-3.35, 5 Pm 3.33-3.50
Er: 0.0000 0.5000 0.0000 x2  4 Sn 3.21
Sn: 0.0000 0.0000 0.2986 x4  7 Pm 3.19-3.35, 2 Er 3.21

V: 512.4 Å³/cell
total moment: 0.00 μB per formula unit
ΔE_f: -0.27 eV per atom

3.
Density functional theory data (PBE) for a relaxed NbCd3I crystal.

Unit cell a=5.7078 b=5.7078 c=5.7078 alpha=90.00 beta=90.00 gamma=90.00
With the nearest neighbours (Å) after each atom.
Space group Pm-3m (No. 221)
Symmetry-distinct sites (fractional):
Nb: 0.0000 0.0000 0.0000 x1  6 Cd 2.85
Cd: 0.0000 0.0000 0.5000 x3  2 Nb 2.85
I: 0.5000 0.5000 0.5000 x1  12 Cd 4.04

V: 186.0 Å³/cell
formation energy (no corrections): 779 meV/atom
distance to the lowest polymorph of the same formula: 0 meV/atom
total moment: 3.91 μB per formula unit

Q: The lowest V belongs to which entry?
A: RbZrAs2Pt

Q: Among the records above, which one has the highest V?
A: Pm5ErSn2

Q: Number 3 is which compound?
A: NbCd3I

Q: Which of these has the lowest V?
A: RbZrAs2Pt